# GGA-PBE TlCuTeI5, relaxed
data_TlCuTeI5
_space_group_name_H-M_alt 'P 1'
_space_group_IT_number 1
_space_group_name_Hall 'P 1'
_cell_length_a 8.0911
_cell_length_b 8.0911
_cell_length_c 11.8970
_cell_angle_alpha 103.63
_cell_angle_beta 103.63
_cell_angle_gamma 100.89
loop_
_atom_site_label
_atom_site_type_symbol
_atom_site_fract_x
_atom_site_fract_y
_atom_site_fract_z
Tl1 Tl 0.0851 0.9149 0.7500
Tl2 Tl 0.9149 0.0851 0.2500
Cu1 Cu 0.4512 0.5488 0.7500
Cu2 Cu 0.5488 0.4512 0.2500
Te1 Te 0.0000 0.5000 0.0000
Te2 Te 0.5000 0.0000 0.5000
I1 I 0.1891 0.8109 0.2500
I2 I 0.2245 0.2946 0.1217
I3 I 0.2946 0.2245 0.6217
I4 I 0.3039 0.6609 0.9207
I5 I 0.3391 0.6961 0.5793
I6 I 0.6609 0.3039 0.4207
I7 I 0.6961 0.3391 0.0793
I8 I 0.7054 0.7755 0.3783
I9 I 0.7755 0.7054 0.8783
I10 I 0.8109 0.1891 0.7500
# - space-group type = C2/c, No. 15
# - uncorrected formation energy (eV/atom) = -0.214

***

# GGA-PBE HoZrBi, relaxed
data_HoZrBi
_space_group_name_H-M_alt 'P 1'
_space_group_IT_number 1
_space_group_name_Hall 'P 1'
_cell_length_a 5.1896
_cell_length_b 5.1896
_cell_length_c 3.5184
_cell_angle_alpha 90.00
_cell_angle_beta 90.00
_cell_angle_gamma 120.00
loop_
_atom_site_label
_atom_site_type_symbol
_atom_site_fract_x
_atom_site_fract_y
_atom_site_fract_z
Ho1 Ho 0.0000 0.0000 0.0000
Zr1 Zr 0.3333 0.6667 0.5219
Bi1 Bi 0.6667 0.3333 0.4095
# - space-group type = P3m1, No. 156
# - energy relative to the elements (eV per atom) = -0.05

***

# GGA-PBE TiPb2F6, relaxed
data_TiPb2F6
_space_group_name_H-M_alt 'P 1'
_space_group_IT_number 1
_space_group_name_Hall 'P 1'
_cell_length_a 5.6312
_cell_length_b 5.6312
_cell_length_c 11.2401
_cell_angle_alpha 90.00
_cell_angle_beta 90.00
_cell_angle_gamma 90.00
loop_
_atom_site_label
_atom_site_type_symbol
_atom_site_fract_x
_atom_site_fract_y
_atom_site_fract_z
Ti1 Ti 0.0000 0.0000 0.0000
Ti2 Ti 0.5000 0.5000 0.5000
Pb1 Pb 0.0000 0.0000 0.3590
Pb2 Pb 0.0000 0.0000 0.6410
Pb3 Pb 0.5000 0.5000 0.1410
Pb4 Pb 0.5000 0.5000 0.8590
F1 F 0.1792 0.1792 0.1222
F2 F 0.1792 0.1792 0.8778
F3 F 0.2415 0.7585 0.0000
F4 F 0.2585 0.2585 0.5000
F5 F 0.3208 0.6792 0.3778
F6 F 0.3208 0.6792 0.6222
F7 F 0.6792 0.3208 0.3778
F8 F 0.6792 0.3208 0.6222
F9 F 0.7415 0.7415 0.5000
F10 F 0.7585 0.2415 0.0000
F11 F 0.8208 0.8208 0.1222
F12 F 0.8208 0.8208 0.8778
# - space-group type = P4_2/mnm, No. 136
# - uncorrected formation energy (eV/atom) = -2.490

***

# GGA-PBE Li2CeSm2Si2, relaxed
data_Li2CeSm2Si2
_space_group_name_H-M_alt 'P 1'
_space_group_IT_number 1
_space_group_name_Hall 'P 1'
_cell_length_a 9.2550
_cell_length_b 9.2550
_cell_length_c 9.2550
_cell_angle_alpha 28.33
_cell_angle_beta 28.33
_cell_angle_gamma 28.33
loop_
_atom_site_label
_atom_site_type_symbol
_atom_site_fract_x
_atom_site_fract_y
_atom_site_fract_z
Li1 Li 0.1006 0.1006 0.1006
Li2 Li 0.8994 0.8994 0.8994
Ce1 Ce 0.5000 0.5000 0.5000
Sm1 Sm 0.3734 0.3734 0.3734
Sm2 Sm 0.6266 0.6266 0.6266
Si1 Si 0.2357 0.2357 0.2357
Si2 Si 0.7643 0.7643 0.7643
# - space-group type = R-3m, No. 166
# - uncorrected formation energy (eV/atom) = -0.347

***

# GGA-PBE Tb3Pr2NdSe6, relaxed
data_Tb3Pr2NdSe6
_space_group_name_H-M_alt 'P 1'
_space_group_IT_number 1
_space_group_name_Hall 'P 1'
_cell_length_a 9.3725
_cell_length_b 9.3725
_cell_length_c 8.4433
_cell_angle_alpha 104.27
_cell_angle_beta 104.27
_cell_angle_gamma 25.49
loop_
_atom_site_label
_atom_site_type_symbol
_atom_site_fract_x
_atom_site_fract_y
_atom_site_fract_z
Tb1 Tb 0.0000 0.0000 0.0000
Tb2 Tb 0.3328 0.3328 0.6668
Tb3 Tb 0.6672 0.6672 0.3332
Pr1 Pr 0.3331 0.3331 0.1665
Pr2 Pr 0.6669 0.6669 0.8335
Nd1 Nd 0.0000 0.0000 0.5000
Se1 Se 0.1631 0.1631 0.0919
Se2 Se 0.1692 0.1692 0.5739
Se3 Se 0.4965 0.4965 0.7568
Se4 Se 0.5035 0.5035 0.2432
Se5 Se 0.8308 0.8308 0.4261
Se6 Se 0.8369 0.8369 0.9081
# - space-group type = C2/m, No. 12
# - uncorrected formation energy (eV/atom) = -1.812

***

# GGA-PBE KNaMo2Os, relaxed
data_KNaMo2Os
_space_group_name_H-M_alt 'P 1'
_space_group_IT_number 1
_space_group_name_Hall 'P 1'
_cell_length_a 4.6240
_cell_length_b 4.6240
_cell_length_c 4.7343
_cell_angle_alpha 90.00
_cell_angle_beta 90.00
_cell_angle_gamma 90.00
loop_
_atom_site_label
_atom_site_type_symbol
_atom_site_fract_x
_atom_site_fract_y
_atom_site_fract_z
K1 K 0.0000 0.0000 0.0000
Na1 Na 0.5000 0.5000 0.5000
Mo1 Mo 0.0000 0.5000 0.0000
Mo2 Mo 0.5000 0.0000 0.0000
Os1 Os 0.0000 0.0000 0.5000
# - space-group type = P4/mmm, No. 123
# - energy relative to the elements (eV per atom) = 3.31